# 1
5
Lattice="4.468 0.000 0.000 0.000 5.428 0.000 0.000 0.000 4.468" Properties=species:S:1:pos:R:3 comment="PBE SrScPtC2, optimized geometry" magmom_total_mub_per_atom=0.198 energy_ev_per_atom=-4.253 spacegroup=P4/mmm pbc="T T T"
Pt 0.000 2.714 0.000
Sc 2.234 2.714 2.234
C 2.234 0.000 0.000
C 0.000 0.000 2.234
Sr 0.000 0.000 0.000

# 2
10
Lattice="-4.625 -0.346 -4.213 -5.477 -5.440 1.800 -6.069 4.839 1.606" Properties=species:S:1:pos:R:3 comment="PBE PrSm4Er5, optimized geometry" magmom_total_mub_per_atom=0.000 energy_ev_per_atom=-4.356 relative_energy_mev_per_atom=95 spacegroup=I4 pbc="T T T"
Sm -11.194 -1.170 -1.163
Sm -4.551 0.255 0.746
Sm -7.446 -1.986 -0.551
Sm -8.299 1.072 0.134
Pr -1.023 -0.077 -0.932
Er -9.619 -2.052 1.895
Er -4.344 -3.010 0.842
Er -3.155 -0.236 -2.874
Er -6.071 1.142 -2.262
Er -11.346 2.099 -1.209